# GGA-PBE Eu2CdSi, optimized geometry
# size of the total moment = 14.10 μB/f.u.
# crystal system = tetragonal
# energy relative to the elements, uncorrected = -0.371 eV per atom
# DOS(E_F) = 1.887 states/eV per atom
data_Eu2CdSi
_chemical_formula_sum 'Eu2 Cd1 Si1'
_cell_length_a 3.722
_cell_length_b 3.722
_cell_length_c 7.861
_cell_angle_alpha 90.00
_cell_angle_beta 90.00
_cell_angle_gamma 90.00
_symmetry_space_group_name_H-M 'P 1'
_symmetry_Int_Tables_number 1
loop_
_symmetry_equiv_pos_as_xyz
'x,y,z'
loop_
_atom_site_label
_atom_site_fract_x
_atom_site_fract_y
_atom_site_fract_z
Cd1 0.500 0.500 0.000
Si1 0.500 0.500 0.500
Eu1 0.000 0.000 0.720
Eu2 0.000 0.000 0.280